(1)
Below is a geometry-optimized Cu2AsOsS structure, with properties calculated at the PBE level.

extended XYZ file:
```
5
Lattice="4.3506 0.0000 0.0000 0.0000 4.3506 0.0000 0.0000 0.0000 4.9947" Properties=species:S:1:pos:R:3 pbc="T T T"
Cu 0.0000 2.1753 0.0000
Cu 2.1753 0.0000 0.0000
As 0.0000 0.0000 0.0000
Os 2.1753 2.1753 2.4974
S 0.0000 0.0000 2.4974
```

Properties
Its space group is P4/mmm (123). The uncorrected formation energy comes out at 1.431 eV per atom.

***

(2)
Below is a geometry-optimized MnGaSb2S structure, with properties calculated at the PBE level.

extended XYZ file:
```
5
Lattice="4.8670 0.0000 0.0000 0.0000 4.8670 0.0000 0.0000 0.0000 4.7287" Properties=species:S:1:pos:R:3 pbc="T T T"
Mn 0.0000 0.0000 0.0000
Ga 0.0000 0.0000 2.3644
Sb 0.0000 2.4335 0.0000
Sb 2.4335 0.0000 0.0000
S 2.4335 2.4335 2.3644
```

Properties
Its space group is P4/mmm (123). The uncorrected formation energy comes out at 0.152 eV per atom.

***

(3)
Below is a geometry-optimized TiH2Pb structure, with properties calculated at the PBE level.

extended XYZ file:
```
8
Lattice="-2.1016 2.1016 5.8514 2.1016 -2.1016 5.8514 2.1016 2.1016 -5.8514" Properties=species:S:1:pos:R:3 pbc="T T T"
Ti 2.1016 1.0508 1.4628
Ti 0.0000 1.0508 4.3885
H 2.1016 0.0000 0.0000
H -1.0508 1.0508 2.9257
H 0.0000 0.0000 5.8514
H 1.0508 1.0508 2.9257
Pb 2.1016 -1.0508 4.3885
Pb 0.0000 3.1524 1.4628
```

Properties
Its excess energy over the best structure of this formula in the dataset is 0 meV/atom. Its space group is I4_1/amd (141).

***

(4)
Below is a geometry-optimized LaMnOs2 structure, with properties calculated at the PBE level.

extended XYZ file:
```
4
Lattice="3.0322 0.0000 0.0000 0.0000 4.7735 0.0000 0.0000 0.0000 4.8222" Properties=species:S:1:pos:R:3 pbc="T T T"
La 0.0000 0.0000 0.0000
Mn 1.5161 2.3868 0.0000
Os 0.0000 2.3868 2.4111
Os 1.5161 0.0000 2.4111
```

Properties
Its excess energy over the best structure of this formula in the dataset is 305 meV/atom. Its space group is Pmmm (47). The formation energy is 2.3 eV per formula unit.

***

no.,electronic total energy (eV for the cell shown)
1,-21.044
2,-23.807
3,-36.522
4,-34.224